This record from the Alexandria database describes crystalline ZrHg2Br at its relaxed geometry. The functional is GGA-PBE.

The structure in extended XYZ format:
```
4
Lattice="3.386 0.000 0.000 0.000 4.864 0.000 0.000 0.000 5.683" Properties=species:S:1:pos:R:3 pbc="T T T"
Zr 0.000 0.000 0.000
Hg 0.000 2.432 2.842
Hg 1.693 0.000 2.842
Br 1.693 2.432 0.000
```

formation energy (no corrections): -41 meV per atom

This record from the Alexandria database describes crystalline TmPd7Au2 at its relaxed geometry. The functional is GGA-PBE.

The structure in extended XYZ format:
```
10
Lattice="3.623 -6.714 0.000 3.623 6.714 0.000 0.000 0.000 4.447" Properties=species:S:1:pos:R:3 pbc="T T T"
Tm 0.000 0.000 0.000
Pd 1.313 1.413 2.224
Pd 3.623 4.091 0.000
Pd 1.313 -1.413 2.224
Pd 3.623 0.000 2.224
Pd 5.933 1.413 2.224
Pd 3.623 -4.091 0.000
Pd 5.933 -1.413 2.224
Au 3.623 2.695 2.224
Au 3.623 -2.695 2.224
```

energy of formation from the pure elements: 0.83 eV per formula unit

This record from the Alexandria database describes crystalline BeZnCu2H at its relaxed geometry. The functional is GGA-PBE.

The structure in extended XYZ format:
```
5
Lattice="3.778 0.000 0.000 0.000 3.778 0.000 0.000 0.000 3.421" Properties=species:S:1:pos:R:3 pbc="T T T"
Be 0.000 0.000 0.000
Zn 1.889 1.889 0.000
Cu 0.000 1.889 1.711
Cu 1.889 0.000 1.711
H 0.000 0.000 1.711
```

VASP energy: -3.191 eV per atom